# V3Tc2Ru | Alexandria | PBE-GGA | relaxed
data_V3Tc2Ru
_chemical_formula_sum 'V3 Tc2 Ru1'
_cell_length_a 3.0203
_cell_length_b 3.0203
_cell_length_c 9.0633
_cell_angle_alpha 90.00
_cell_angle_beta 90.00
_cell_angle_gamma 90.00
_symmetry_space_group_name_H-M 'P 1'
_symmetry_Int_Tables_number 1
_symmetry_space_group_name_Hall 'P 1'
loop_
_atom_site_label
_atom_site_type_symbol
_atom_site_fract_x
_atom_site_fract_y
_atom_site_fract_z
_atom_site_occupancy
V1 V 0.0000 0.0000 0.0000 1
V2 V 0.0000 0.0000 0.6709 1
V3 V 0.0000 0.0000 0.3291 1
Tc1 Tc 0.5000 0.5000 0.8322 1
Tc2 Tc 0.5000 0.5000 0.1678 1
Ru1 Ru 0.5000 0.5000 0.5000 1
# Calculated total energy (eV/atom): -9.9040
# SG: P4/mmm (123)
# Energy relative to the elements (eV/atom): -0.343